--- i ---
The following is a PBE-GGA calculation of an optimized crystal structure of YZrAl, from the Alexandria database.

a b c (Å): 3.110 10.944 8.157
angles (deg): 90.00 90.00 90.00
Space group Pmc2_1 (No. 26)
Symmetry-distinct sites (fractional):
Y1 0.000 0.155 0.000 x2
Y2 0.000 0.311 0.657 x2
Zr1 0.000 0.128 0.375 x2
Zr2 0.000 0.444 0.005 x2
Al1 0.500 0.057 0.678 x2
Al2 0.500 0.364 0.309 x2


--- ii ---
The following is a PBE-GGA calculation of an optimized crystal structure of YZrAl, from the Alexandria database.

a b c (Å): 4.9192 4.9192 3.4349
angles (deg): 90.00 90.00 120.00
Space group P3m1 (No. 156)
Symmetry-distinct sites (fractional):
Y1 0.0000 0.0000 0.0000 x1
Zr1 0.6667 0.3333 0.4579 x1
Al1 0.3333 0.6667 0.6188 x1


--- iii ---
The following is a PBE-GGA calculation of an optimized crystal structure of YZrAl, from the Alexandria database.

a b c (Å): 3.283 3.283 13.089
angles (deg): 90.00 90.00 90.00
Space group I4mm (No. 107)
Symmetry-distinct sites (fractional):
Y1 0.000 0.000 0.000 x2
Zr1 0.000 0.000 0.311 x2
Al1 0.000 0.000 0.666 x2


Most stable: iii (next structure +13.0 kJ/mol of atoms)


--- i ---
The following is a PBE-GGA calculation of an optimized crystal structure of Y3ZrAl8, from the Alexandria database.

a b c (Å): 5.4732 5.4732 9.1053
angles (deg): 90.00 90.00 120.00
Space group P3m1 (No. 156)
Symmetry-distinct sites (fractional):
Y1 0.0000 0.0000 0.0000 x1
Y2 0.0000 0.0000 0.3674 x1
Y3 0.3333 0.6667 0.8619 x1
Zr1 0.3333 0.6667 0.4998 x1
Al1 0.0086 0.5043 0.1872 x3
Al2 0.3260 0.1630 0.6755 x3
Al3 0.6667 0.3333 0.4318 x1
Al4 0.6667 0.3333 0.9301 x1


--- ii ---
The following is a PBE-GGA calculation of an optimized crystal structure of Y3ZrAl8, from the Alexandria database.

a b c (Å): 5.5016 5.5016 27.0113
angles (deg): 90.00 90.00 120.00
Space group R3m (No. 160, hexagonal axes)
Symmetry-distinct sites (fractional):
Y1 0.0000 0.0000 0.0000 x3
Y2 0.0000 0.0000 0.1256 x3
Y3 0.0000 0.0000 0.5014 x3
Zr1 0.0000 0.0000 0.6257 x3
Al1 0.0000 0.0000 0.3129 x3
Al2 0.0000 0.0000 0.8132 x3
Al3 0.0006 0.5003 0.5647 x9
Al4 0.1674 0.3348 0.3948 x9


Most stable: ii (next structure +1.2 kJ/mol of atoms)